## FePO4 (PBE with a Hubbard U)

Data for FePO4 after structural relaxation.

The structure belongs to space group P2_1/c (No. 14); the cell edges are 5.6113, 7.5764 and 9.3405 Å and the angles 90.00°, 119.42° and 90.00°. The asymmetric unit holds Fe at (0.1686, 0.1900, 0.0585), P at (0.1881, 0.5443, 0.2702), O at (0.0082, 0.1440, 0.3861), O at (0.0522, 0.5267, 0.3842), O at (0.2407, 0.1434, 0.7320) and O at (0.4569, 0.6462, 0.3686).

For the magnetic moment, the calculation gives 4.970 μB per formula unit. The calculation puts the electronic total energy at -7.1005 eV/atom. Its volume is 86.47 Å³/f.u.